# AlMo2NO

AlMo2NO after structural relaxation (PBE+U, Alexandria via LeMat-Bulk).

The structure in CIF format:
```
data_AlMo2NO
_chemical_formula_sum 'Al1 Mo2 N1 O1'
_space_group_name_H-M_alt 'P 4/m m m'
_space_group_IT_number 123
_space_group_name_Hall '-P 4 2'
_cell_length_a 4.3190
_cell_length_b 4.3190
_cell_length_c 3.5367
_cell_angle_alpha 90.00
_cell_angle_beta 90.00
_cell_angle_gamma 90.00
loop_
_atom_site_label
_atom_site_type_symbol
_atom_site_fract_x
_atom_site_fract_y
_atom_site_fract_z
Al1 Al 0.0000 0.0000 0.0000
Mo1 Mo 0.0000 0.5000 0.5000
N1 N 0.5000 0.5000 0.0000
O1 O 0.0000 0.0000 0.5000
```

Values from the calculation:
**Raw total energy**: -26.224 eV per cell